La5Te3 | Alexandria | PBE | optimized geometry; uncorrected formation energy = -1.16 eV per atom
1.0
-0.311 -0.996 6.470
-5.171 -7.873 -1.460
9.508 -0.545 0.373
La Te
10 6
direct
0.000 0.667 0.333 La
0.000 0.333 0.667 La
0.500 0.333 0.667 La
0.500 0.667 0.333 La
0.250 0.000 0.740 La
0.250 0.740 0.000 La
0.250 0.260 0.260 La
0.750 0.000 0.260 La
0.750 0.260 0.000 La
0.750 0.740 0.740 La
0.250 0.000 0.383 Te
0.250 0.383 0.000 Te
0.250 0.617 0.617 Te
0.750 0.000 0.617 Te
0.750 0.617 0.000 Te
0.750 0.383 0.383 Te

***

CsSb2 | Alexandria | PBE | optimized geometry; uncorrected formation energy = -0.29 eV per atom
1.0
-5.035 -0.944 -1.968
-2.977 -6.352 3.013
-5.308 1.202 5.353
Cs Sb
2 4
direct
0.539 0.211 0.711 Cs
0.461 0.789 0.289 Cs
0.803 0.272 0.122 Sb
0.197 0.378 0.229 Sb
0.803 0.622 0.771 Sb
0.197 0.728 0.878 Sb

***

InSbPb | Alexandria | PBE | optimized geometry; E above lowest polymorph = 45 meV per atom; uncorrected formation energy = 0.06 eV per atom
1.0
6.575 0.027 0.043
4.271 4.998 -0.043
-5.237 -2.914 2.704
In Pb Sb
1 1 1
direct
0.011 0.011 0.000 In
0.326 0.326 0.000 Pb
0.663 0.663 0.000 Sb

***

Li4DyAg | Alexandria | PBE | optimized geometry; E_form = 0.026 eV per atom
1.0
-3.607 -1.660 -3.669
-0.865 -5.285 -0.743
-4.658 -2.229 1.604
Li Ag Dy
4 1 1
direct
0.627 0.627 0.118 Li
0.627 0.118 0.627 Li
0.627 0.627 0.627 Li
0.118 0.627 0.627 Li
0.000 0.000 0.000 Ag
0.250 0.250 0.250 Dy

***

Sr3TaN | Alexandria | PBE | optimized geometry; E above lowest polymorph = 0 meV per atom; uncorrected formation energy = 0.52 eV per atom
1.0
-5.037 1.132 1.198
0.513 -2.585 4.598
1.566 4.486 2.348
Sr N Ta
3 1 1
direct
0.000 0.500 0.000 Sr
0.000 0.000 0.500 Sr
0.500 0.000 0.000 Sr
0.000 0.000 0.000 N
0.500 0.500 0.500 Ta

***

GeIr3C | Alexandria | PBE | optimized geometry; E above lowest polymorph = 0 meV per atom; E_form = 0.544 eV per atom
1.0
4.136 0.000 0.000
0.000 4.136 0.000
0.000 0.000 4.136
Ge Ir C
1 3 1
direct
0.500 0.500 0.500 Ge
0.000 0.500 0.000 Ir
0.000 0.000 0.500 Ir
0.500 0.000 0.000 Ir
0.000 0.000 0.000 C

***

Ca2Dy2Pd3 | Alexandria | PBE | optimized geometry; E_form = -0.710 eV per atom
1.0
-1.722 -4.226 -1.834
1.616 3.519 -3.033
8.199 -1.580 2.538
Ca Dy Pd
2 2 3
direct
0.252 0.126 0.378 Ca
0.748 0.874 0.622 Ca
0.751 0.375 0.126 Dy
0.249 0.625 0.874 Dy
0.000 0.000 0.000 Pd
0.516 0.258 0.775 Pd
0.484 0.742 0.225 Pd

***

What is the formula in the fourth record? Li4DyAg